## Nd6Ge2RuBr3 (PBE-GGA)

Data for a relaxed structure of Nd6Ge2RuBr3.

Lattice parameters (Å, degrees): 9.8284 9.8284 9.0805 105.69 105.69 24.76
Last column: nearest neighbours and their distance in Å.
Atoms (fractional coordinates):
Nd: 0.0055 0.0055 0.2171  2 Ru 2.87, 1 Ge 2.95
Nd: 0.3246 0.3246 0.4337  3 Ge 2.92-2.95, 3 Br 3.24-3.25
Nd: 0.3524 0.3524 0.8972  1 Ru 2.73, 2 Ge 2.96
Nd: 0.6476 0.6476 0.1028  1 Ru 2.73, 2 Ge 2.96
Nd: 0.6754 0.6754 0.5663  3 Ge 2.92-2.95, 3 Br 3.24-3.25
Nd: 0.9945 0.9945 0.7829  2 Ru 2.87, 1 Ge 2.95
Ge: 0.1650 0.1650 0.3388  6 Nd 2.92-2.96
Ge: 0.8350 0.8350 0.6612  6 Nd 2.92-2.96
Ru: 0.5000 0.5000 0.0000  6 Nd 2.73-2.87
Br: 0.1735 0.1735 0.8357  6 Nd 3.24-3.35
Br: 0.5000 0.5000 0.5000  6 Nd 3.25-3.35
Br: 0.8265 0.8265 0.1643  6 Nd 3.24-3.35

Results
* symmetry: No. 12
* energy relative to the elements, uncorrected: -1.015 eV/atom

---

## CaCdCo2 (PBE-GGA)

Data for a relaxed structure of CaCdCo2.

Lattice parameters (Å, degrees): 5.4948 5.4948 4.7048 115.27 115.27 34.76
Last column: nearest neighbours and their distance in Å.
Atoms (fractional coordinates):
Ca: 0.0000 0.0000 0.0000  8 Co 2.90-3.15, 4 Cd 3.08-3.16
Cd: 0.2125 0.2125 0.7124  6 Co 2.92-2.95, 4 Ca 3.08-3.16
Co: 0.4552 0.4552 0.4551  2 Co 2.28
Co: 0.7866 0.7866 0.2864  2 Co 2.28

Results
* symmetry: No. 8
* formation energy from the elements: 0.98 eV/f.u.

---

## Pm2DyTh3Sb6 (PBE-GGA)

Data for a relaxed structure of Pm2DyTh3Sb6.

Lattice parameters (Å, degrees): 10.0215 10.0215 8.9442 102.76 102.76 25.88
Last column: nearest neighbours and their distance in Å.
Atoms (fractional coordinates):
Pm: 0.1664 0.1664 0.3331  6 Sb 3.16-3.17
Pm: 0.8336 0.8336 0.6669  6 Sb 3.16-3.17
Dy: 0.5000 0.5000 0.0000  6 Sb 3.12-3.13
Th: 0.1678 0.1678 0.8334  6 Sb 3.17-3.20
Th: 0.5000 0.5000 0.5000  6 Sb 3.18-3.20
Th: 0.8322 0.8322 0.1666  6 Sb 3.17-3.20
Sb: 0.9997 0.9997 0.2441  2 Dy 3.13, 1 Pm 3.17, 3 Th 3.19-3.20
Sb: 0.0003 0.0003 0.7559  2 Dy 3.13, 1 Pm 3.17, 3 Th 3.19-3.20
Sb: 0.3331 0.3331 0.4177  3 Pm 3.16-3.17, 3 Th 3.17-3.18
Sb: 0.3359 0.3359 0.9174  1 Dy 3.12, 2 Pm 3.16, 3 Th 3.17-3.20
Sb: 0.6641 0.6641 0.0826  1 Dy 3.12, 2 Pm 3.16, 3 Th 3.17-3.20
Sb: 0.6669 0.6669 0.5823  3 Pm 3.16-3.17, 3 Th 3.17-3.18

Results
* symmetry: No. 12
* energy relative to the elements, uncorrected: -1.046 eV/atom

---

## EuMgP (PBE-GGA)

Data for a relaxed structure of EuMgP.

Lattice parameters (Å, degrees): 4.3279 4.3279 4.3686 90.00 90.00 120.00
Last column: nearest neighbours and their distance in Å.
Atoms (fractional coordinates):
Eu: 0.0000 0.0000 0.0000  6 Mg 3.32, 6 P 3.32
Mg: 0.6667 0.3333 0.5000  3 P 2.50
P: 0.3333 0.6667 0.5000  3 Mg 2.50

Results
* symmetry: No. 187
* formation energy from the elements: -2.22 eV/f.u.

---

## Mg2TcSbPt (PBE-GGA)

Data for a relaxed structure of Mg2TcSbPt.

Lattice parameters (Å, degrees): 4.9029 4.9029 4.9421 90.00 90.00 90.00
Last column: nearest neighbours and their distance in Å.
Atoms (fractional coordinates):
Mg: 0.0000 0.5000 0.0000  2 Tc 2.45
Mg: 0.5000 0.0000 0.0000  2 Tc 2.45
Tc: 0.0000 0.0000 0.0000  4 Mg 2.45, 2 Sb 2.47
Sb: 0.0000 0.0000 0.5000  2 Tc 2.47
Pt: 0.5000 0.5000 0.5000  4 Sb 3.47, 8 Mg 3.48

Results
* symmetry: No. 123
* energy relative to the elements, uncorrected: 0.652 eV/atom

---

## Dy8Sc2Al (PBE-GGA)

Data for a relaxed structure of Dy8Sc2Al.

Lattice parameters (Å, degrees): 9.7347 9.7347 6.3174 93.35 93.35 32.15
Last column: nearest neighbours and their distance in Å.
Atoms (fractional coordinates):
Dy: 0.0429 0.0429 0.2538  2 Al 3.21, 4 Dy 3.50-3.59
Dy: 0.1576 0.1576 0.8050  6 Dy 3.29-3.66, 4 Sc 3.40-3.64
Dy: 0.3392 0.3392 0.8796  1 Al 3.06, 2 Sc 3.34, 3 Dy 3.35-3.40
Dy: 0.4194 0.4194 0.4014  1 Al 3.03, 3 Dy 3.19-3.29, 1 Sc 3.35
Dy: 0.5806 0.5806 0.5986  1 Al 3.03, 3 Dy 3.19-3.29, 1 Sc 3.35
Dy: 0.6608 0.6608 0.1204  1 Al 3.06, 2 Sc 3.34, 3 Dy 3.35-3.40
Dy: 0.8424 0.8424 0.1950  6 Dy 3.29-3.66, 4 Sc 3.40-3.64
Dy: 0.9571 0.9571 0.7462  2 Al 3.21, 4 Dy 3.50-3.59
Sc: 0.2403 0.2403 0.3408  9 Dy 3.34-3.70, 2 Sc 3.37
Sc: 0.7597 0.7597 0.6592  9 Dy 3.34-3.70, 2 Sc 3.37
Al: 0.5000 0.5000 0.0000  8 Dy 3.03-3.21

Results
* symmetry: No. 12
* formation energy from the elements: -0.33 eV/f.u.

---

## CrInAs2 (PBE-GGA)

Data for a relaxed structure of CrInAs2.

Lattice parameters (Å, degrees): 2.9847 9.0220 9.0220 19.09 90.00 90.00
Last column: nearest neighbours and their distance in Å.
Atoms (fractional coordinates):
Cr: 0.0000 0.0000 0.0000  8 As 2.56-2.58
In: 0.5000 0.2513 0.2513  1 As 2.98, 4 In 2.98-2.99
As: 0.5000 0.4187 0.4187  4 Cr 2.56
As: 0.5000 0.5836 0.5836  4 Cr 2.58

Results
* symmetry: No. 38
* formation energy from the elements: 0.04 eV/f.u.

---

## B5C7 (PBE-GGA)

Data for a relaxed structure of B5C7.

Lattice parameters (Å, degrees): 3.5822 4.7754 5.4323 65.70 88.01 69.08
Last column: nearest neighbours and their distance in Å.
Atoms (fractional coordinates):
B: 0.0000 0.0000 0.0000  2 C 1.63-1.65, 2 B 1.73-1.75
B: 0.0512 0.3651 0.9618  2 C 1.61-1.62, 1 B 1.75
B: 0.3543 0.3503 0.6695  3 C 1.66-1.68
B: 0.6688 0.6712 0.3434  3 C 1.66-1.70
B: 0.7503 0.0657 0.2607  2 C 1.61-1.63, 1 B 1.73
C: 0.0108 0.0230 0.5218  3 C 1.51-1.57, 1 B 1.63
C: 0.0917 0.3388 0.4259  2 C 1.49-1.51, 1 B 1.66
C: 0.3244 0.3700 0.1888  2 C 1.49, 2 B 1.61
C: 0.4077 0.7061 0.6045  2 C 1.57, 2 B 1.67-1.70
C: 0.4236 0.6735 0.0873  2 C 1.49-1.52, 2 B 1.65-1.67
C: 0.6495 0.7027 0.8416  3 C 1.50-1.57, 1 B 1.62
C: 0.7560 0.0035 0.7506  2 C 1.50-1.51, 2 B 1.63-1.66

Results
* ΔE to the lowest computed polymorph: 87 kJ/mol of formula units
* symmetry: No. 1
* formation energy from the elements: 4.00 eV/f.u.

---

| no. | DFT total energy (eV per cell) | N(E_F) (states/eV/f.u.) |
| --- | --- | --- |
| 1 | -64.317 | 6.836 |
| 2 | -16.153 | 2.394 |
| 3 | -73.654 | 6.101 |
| 4 | -19.500 | 5.480 |
| 5 | -20.459 | 6.569 |
| 6 | -53.556 | 14.249 |
| 7 | -21.616 | 2.866 |
| 8 | -93.953 | 2.243 |